# KCdHg14

A relaxed structure of KCdHg14 (PBE, the Alexandria database).

Spin magnetization = 0.0 μB/f.u.
Formation energy = -33 meV per atom

Cell lengths 11.8372, 10.9333, 10.9180 Å; angles 82.68, 57.75, 57.54 degrees
With the nearest neighbours (Å) after each atom.
Sites, in units of the cell vectors:
K1 0.2510 0.3991 0.1010  6 Hg 3.55-3.66
K2 0.7490 0.6009 0.8990  6 Hg 3.55-3.66
Cd1 0.5000 0.0000 0.5000  8 Hg 3.11-3.44
Cd2 0.0000 0.0000 0.5000  8 Hg 3.11-3.43
Hg1 0.6266 0.3686 0.3797  7 Hg 2.86-3.19
Hg2 0.3734 0.6314 0.6203  7 Hg 2.86-3.19
Hg3 0.1251 0.8799 0.8685  7 Hg 2.86-3.19
Hg4 0.8749 0.1201 0.1315  7 Hg 2.86-3.19
Hg5 0.1052 0.3280 0.4638  4 Hg 2.98-3.10
Hg6 0.8948 0.6720 0.5362  4 Hg 2.98-3.10
Hg7 0.6029 0.9649 0.8282  4 Hg 2.98-3.09
Hg8 0.3971 0.0351 0.1718  4 Hg 2.98-3.09
Hg9 0.1062 0.1139 0.6690  5 Hg 3.03-3.30, 1 Cd 3.36
Hg10 0.8938 0.8861 0.3310  5 Hg 3.03-3.30, 1 Cd 3.36
Hg11 0.6076 0.1683 0.6127  5 Hg 3.02-3.30, 1 Cd 3.36
Hg12 0.3924 0.8317 0.3873  5 Hg 3.02-3.30, 1 Cd 3.36
Hg13 0.7766 0.5567 0.2217  5 Hg 3.10-3.30
Hg14 0.5526 0.4422 0.7802  5 Hg 3.10-3.28
Hg15 0.2766 0.7223 0.0564  6 Hg 3.10-3.47
Hg16 0.0533 0.2801 0.9423  5 Hg 3.10-3.28
Hg17 0.2234 0.4433 0.7783  5 Hg 3.10-3.30
Hg18 0.4474 0.5578 0.2198  5 Hg 3.10-3.28
Hg19 0.7234 0.2777 0.9436  6 Hg 3.10-3.47
Hg20 0.9467 0.7199 0.0577  5 Hg 3.10-3.28
Hg21 0.3599 0.9519 0.8241  5 Hg 2.98-3.20, 1 Cd 3.12
Hg22 0.1332 0.0541 0.1789  5 Hg 2.98-3.20, 1 Cd 3.11
Hg23 0.8605 0.3240 0.4538  5 Hg 2.98-3.19, 1 Cd 3.11
Hg24 0.6321 0.6785 0.5534  5 Hg 2.98-3.19, 1 Cd 3.11
Hg25 0.6401 0.0481 0.1759  5 Hg 2.98-3.20, 1 Cd 3.12
Hg26 0.8668 0.9459 0.8211  5 Hg 2.98-3.20, 1 Cd 3.11
Hg27 0.1395 0.6760 0.5462  5 Hg 2.98-3.19, 1 Cd 3.11
Hg28 0.3679 0.3215 0.4466  5 Hg 2.98-3.19, 1 Cd 3.11